Compound: CdCuPb3
Source: the Alexandria database
Functional: GGA-PBEsol
Structure: relaxed

## Properties
Its space-group type is Pm-3m (221). The crystal system is cubic. Its energy is -2.6062 eV per atom. The value obtained for the density of states at the Fermi level is 0.453 states/eV/atom.

The structure in POSCAR format:
```
CdCuPb3
1.0
5.518 0.000 0.000
0.000 5.518 0.000
0.000 0.000 5.518
Pb Cu Cd
3 1 1
direct
0.000 0.500 0.000
0.000 0.000 0.500
0.500 0.000 0.000
0.500 0.500 0.500
0.000 0.000 0.000
```

=====

Compound: CdCuPb2
Source: the Alexandria database
Functional: GGA-PBEsol
Structure: relaxed

## Properties
Its space-group type is P4mm (99). The crystal system is tetragonal. Its energy is -3.2746 eV per atom. The value obtained for the density of states at the Fermi level is 0.299 states/eV/atom.

The structure in POSCAR format:
```
CdCuPb2
1.0
3.276 0.000 0.000
0.000 3.276 0.000
0.000 0.000 8.467
Cd Cu Pb
1 1 2
direct
0.000 0.000 0.553
0.500 0.500 0.726
0.000 0.000 0.938
0.500 0.500 0.283
```

=====

Compound: Cd2CuRePb
Source: the Alexandria database
Functional: GGA-PBEsol
Structure: relaxed

## Properties
Its space-group type is P4/mmm (123). The crystal system is tetragonal. Its energy is -2.9031 eV per atom. The value obtained for the density of states at the Fermi level is 0.460 states/eV/atom.

The structure in POSCAR format:
```
Cd2CuRePb
1.0
-4.269 1.723 1.217
0.128 -2.905 4.562
2.393 4.123 2.558
Pb Re Cu Cd
1 1 1 2
direct
0.000 0.000 0.000
0.500 0.500 0.500
0.500 0.000 0.000
0.000 0.000 0.500
0.000 0.500 0.000
```

=====

Compound: PrCdCu
Source: the Alexandria database
Functional: GGA-PBEsol
Structure: relaxed

## Properties
Its space-group type is P-62m (189). The crystal system is hexagonal. Its energy is -3.8272 eV per atom. The value obtained for the density of states at the Fermi level is 0.817 states/eV/atom.

The structure in POSCAR format:
```
PrCdCu
1.0
-1.587 2.965 2.126
3.176 -2.774 6.238
3.722 5.012 -4.210
Pr Cd Cu
3 3 3
direct
0.500 0.586 0.586
0.500 0.000 0.414
0.500 0.414 0.000
0.000 0.245 0.245
0.000 0.000 0.755
0.000 0.755 0.000
0.000 0.667 0.333
0.000 0.333 0.667
0.500 0.000 0.000
```

=====

| no. | total magnetic moment (Bohr magnetons per cell) |
| --- | --- |
| 1 | 0.00 |
| 2 | 0.00 |
| 3 | 4.31 |
| 4 | 0.00 |